Computed, not measured: a geometry-optimized PrUC2 structure at the PBE-GGA level of DFT.

Cell: 3.601 3.601 6.397 Å, 73.65 73.65 60.00°
Element x y z (fractional)
Pr: 0.494 0.494 0.517
U: 0.667 0.667 0.000
C: 0.067 0.067 0.800
C: 0.272 0.272 0.183

Spin magnetization, Bohr magnetons per cell: 0.001
Calculated volume, Å³/cell: 67.9
Energy of formation, eV per atom: 0.0075
Offset from the most stable computed form, meV/atom: 134